Entry 1:
An optimized crystal structure of Hg2F13. Source: Alexandria, functional GGA-PBE.

Results
Total moment, μB per atom: 0.603
Energy relative to the lowest polymorph listed for this composition, meV/atom: 186
Uncorrected formation energy, eV per atom: -0.2472
Crystal system: trigonal

a = 6.4288 Å, b = 6.4288 Å, c = 19.4615 Å
α = 90.00°, β = 90.00°, γ = 120.00°
Space group R-3m (No. 166, hexagonal axes)
Asymmetric unit:
Hg  0.0000  0.0000  0.1656
F  0.0000  0.0000  0.0000
F  0.0039  0.5020  0.4336
F  0.1001  0.2003  0.6263

***

Entry 2:
An optimized crystal structure of Y3Er4Tm5. Source: Alexandria, functional GGA-PBE.

Results
Total moment, μB per atom: 0.049
Calculated formation energy, eV per formula unit: 3.145
Energy relative to the lowest polymorph listed for this composition, meV/atom: 234
Crystal system: monoclinic

a = 15.896 Å, b = 5.798 Å, c = 9.223 Å
α = 90.00°, β = 116.84°, γ = 90.00°
Space group C2/m (No. 12)
Asymmetric unit:
Y  0.000  0.000  0.000
Y  0.210  0.500  0.233
Er  0.081  0.500  0.441
Er  0.213  0.500  0.878
Tm  0.000  0.500  0.000
Tm  0.072  0.000  0.699
Tm  0.173  0.000  0.386

***

Entry 3:
An optimized crystal structure of LuScTiCd. Source: Alexandria, functional GGA-PBE.

Results
Total moment, μB per atom: 0.799
Calculated formation energy, eV per formula unit: 0.123
Crystal system: cubic

a = 7.148 Å, b = 7.148 Å, c = 7.148 Å
α = 90.00°, β = 90.00°, γ = 90.00°
Space group F-43m (No. 216)
Asymmetric unit:
Lu  0.000  0.000  0.000
Sc  0.000  0.000  0.500
Ti  0.250  0.250  0.750
Cd  0.250  0.250  0.250

***

Entry 4:
An optimized crystal structure of BaSbPd2. Source: Alexandria, functional GGA-PBE.

Results
Total moment, μB per atom: 0.000
Uncorrected formation energy, eV per atom: -0.7441
Crystal system: orthorhombic

a = 8.127 Å, b = 7.172 Å, c = 6.784 Å
α = 90.00°, β = 90.00°, γ = 90.00°
Space group Pnma (No. 62)
Asymmetric unit:
Ba  0.014  0.250  0.156
Sb  0.140  0.750  0.341
Pd  0.161  0.055  0.579

***

Entry 5:
An optimized crystal structure of BeCu4Pd5. Source: Alexandria, functional GGA-PBE.

Results
Total moment, μB per atom: 0.000
Calculated formation energy, eV per formula unit: -2.340
Crystal system: tetragonal

a = 2.858 Å, b = 2.858 Å, c = 16.271 Å
α = 90.00°, β = 90.00°, γ = 90.00°
Space group P4/mmm (No. 123)
Asymmetric unit:
Be  0.000  0.000  0.000
Cu  0.000  0.000  0.192
Cu  0.000  0.000  0.397
Pd  0.500  0.500  0.085
Pd  0.500  0.500  0.294
Pd  0.500  0.500  0.500

***

Entry 6:
An optimized crystal structure of CeYSN. Source: Alexandria, functional GGA-PBE.

Results
Total moment, μB per atom: 0.092
Uncorrected formation energy, eV per atom: -1.7863
Crystal system: trigonal

a = 3.6806 Å, b = 3.6806 Å, c = 19.0599 Å
α = 90.00°, β = 90.00°, γ = 120.00°
Space group R3m (No. 160, hexagonal axes)
Asymmetric unit:
Ce  0.0000  0.0000  0.0000
Y  0.0000  0.0000  0.5257
S  0.0000  0.0000  0.7661
N  0.0000  0.0000  0.2611

***

Entry 7:
An optimized crystal structure of Hf2SiN. Source: Alexandria, functional GGA-PBE.

Results
Total moment, μB per atom: 0.000
Energy relative to the lowest polymorph listed for this composition, meV/atom: 1058
Uncorrected formation energy, eV per atom: 0.0383
Crystal system: cubic

a = 6.259 Å, b = 6.259 Å, c = 6.259 Å
α = 90.00°, β = 90.00°, γ = 90.00°
Space group Fm-3m (No. 225)
Asymmetric unit:
Hf  0.250  0.250  0.250
Si  0.000  0.000  0.000
N  0.000  0.000  0.500

***

Entry 8:
An optimized crystal structure of La2AsRh. Source: Alexandria, functional GGA-PBE.

Results
Total moment, μB per atom: 0.000
Calculated formation energy, eV per formula unit: -1.785
Crystal system: cubic

a = 7.132 Å, b = 7.132 Å, c = 7.132 Å
α = 90.00°, β = 90.00°, γ = 90.00°
Space group F-43m (No. 216)
Asymmetric unit:
La  0.000  0.000  0.000
La  0.250  0.250  0.250
As  0.250  0.250  0.750
Rh  0.000  0.000  0.500

***

- Look up the total moment of the first one.
  0.603 μB per atom

***

- What is the formula in the seventh record?
  Hf2SiN

***

- What is the total moment in the first record?
  0.603 μB per atom